This record from Alexandria via LeMat-Bulk describes a relaxed Tb3DyZn8 crystal. The functional is PBE.

Results
The value obtained for the density is 8.34 g/cm3. The uncorrected energy is -2.715 eV per atom.

Lattice parameters (Å, degrees): 5.5578 5.5578 8.6530 90.00 90.00 120.00
With the nearest neighbours (Å) after each atom.
Positions (direct):
Tb  0.6667  0.3333  0.4429  12 Zn 3.10-3.25, 1 Tb 3.34, 3 Dy 3.36
Tb  0.6667  0.3333  0.0574  12 Zn 3.10-3.25, 4 Tb 3.34-3.36
Tb  0.0000  0.0000  0.9423  12 Zn 3.10-3.25, 1 Dy 3.33, 3 Tb 3.36
Dy  0.0000  0.0000  0.5571  12 Zn 3.09-3.25, 4 Tb 3.33-3.36
Zn  0.3333  0.6667  0.4998  6 Zn 2.70
Zn  0.3333  0.6667  0.0001  6 Zn 2.70
Zn  0.5012  0.0025  0.7498  6 Zn 2.70-2.80
Zn  0.5012  0.4988  0.7498  6 Zn 2.70-2.80
Zn  0.9975  0.4988  0.7498  6 Zn 2.70-2.80
Zn  0.1652  0.3304  0.2503  6 Zn 2.70-2.80
Zn  0.1652  0.8348  0.2503  6 Zn 2.70-2.80
Zn  0.6696  0.8348  0.2503  6 Zn 2.70-2.80